{
  "formula": "Ho3Er8Sc2",
  "functional": "GGA-PBE",
  "state": "relaxed",
  "e_above_lowest_polymorph_mev_per_atom": 5.8,
  "magmom_total_mub_per_cell": 0.00,
  "sg": "C2/m (12)",
  "lattice": [[-1.847, 4.973, -1.493], [-1.026, -2.506, -7.074], [-8.516, -1.426, 5.796]],
  "species": ["Er", "Er", "Er", "Er", "Er", "Er", "Er", "Er", "Ho", "Ho", "Ho", "Sc", "Sc"],
  "fractional_positions": [[0.500, 0.402, 0.225], [0.999, 0.325, 0.649], [0.500, 0.598, 0.775], [0.000, 0.865, 0.730], [0.500, 0.177, 0.775], [0.500, 0.823, 0.225], [0.000, 0.135, 0.270], [0.001, 0.675, 0.351], [0.500, 0.000, 0.000], [0.000, 0.286, 0.000], [0.000, 0.714, 0.000], [0.501, 0.759, 0.518], [0.499, 0.241, 0.482]]
}